1.
! MoW3 | the Alexandria database | PBE-GGA | relaxed; values from VASP
! Density, g/cm³: 16.34
! Total DFT energy (no corrections), Ry per atom: -0.8791
! DOS at the Fermi energy, states/eV/atom: 0.863
! M_tot, μB/cell: 0.00
&SYSTEM
  ibrav = 0, nat = 4, ntyp = 2
/
ATOMIC_SPECIES
Mo 95.94 Mo.upf
W 183.84 W.upf
ATOMIC_POSITIONS angstrom
Mo 0.000 0.000 0.000
W 0.000 0.000 4.931
W 0.000 1.602 2.458
W 0.000 1.602 7.404
CELL_PARAMETERS angstrom
2.776 0.000 0.000
-1.388 2.404 0.000
0.000 0.000 9.862



2.
! MoW2 | the Alexandria database | PBE-GGA | relaxed; values from VASP
! Density, g/cm³: 15.99
! Total DFT energy (no corrections), Ry per atom: -0.9012
! DOS at the Fermi energy, states/eV/atom: 0.365
! M_tot, μB/cell: 0.00
&SYSTEM
  ibrav = 0, nat = 12, ntyp = 2
/
ATOMIC_SPECIES
Mo 95.94 Mo.upf
W 183.84 W.upf
ATOMIC_POSITIONS angstrom
Mo 0.000 0.000 0.000
Mo 0.000 2.246 6.734
Mo 1.592 0.000 6.734
Mo 1.592 2.246 0.000
W 0.000 0.000 4.491
W 0.000 0.000 8.976
W 0.000 2.246 2.243
W 0.000 2.246 11.225
W 1.592 0.000 2.243
W 1.592 0.000 11.225
W 1.592 2.246 4.491
W 1.592 2.246 8.976
CELL_PARAMETERS angstrom
3.183 0.000 0.000
0.000 4.493 0.000
0.000 0.000 13.468



3.
! MoW | the Alexandria database | PBE-GGA | relaxed; values from VASP
! Density, g/cm³: 14.14
! Total DFT energy (no corrections), Ry per atom: -0.8469
! DOS at the Fermi energy, states/eV/atom: 0.550
! M_tot, μB/cell: 0.00
&SYSTEM
  ibrav = 0, nat = 12, ntyp = 2
/
ATOMIC_SPECIES
Mo 95.94 Mo.upf
W 183.84 W.upf
ATOMIC_POSITIONS angstrom
Mo 0.000 0.000 3.155
Mo 0.000 0.000 22.023
Mo 0.000 1.736 13.631
Mo 0.000 1.736 19.940
Mo 1.504 0.868 5.238
Mo 1.504 0.868 11.547
W 0.000 0.000 9.450
W 0.000 0.000 15.728
W 0.000 1.736 1.058
W 0.000 1.736 7.335
W 1.504 0.868 17.843
W 1.504 0.868 24.121
CELL_PARAMETERS angstrom
3.007 0.000 0.000
-1.504 2.604 0.000
0.000 0.000 25.178



4.
! MoW3 | the Alexandria database | PBE-GGA | relaxed; values from VASP
! Density, g/cm³: 16.70
! Total DFT energy (no corrections), Ry per atom: -0.9132
! DOS at the Fermi energy, states/eV/atom: 0.630
! M_tot, μB/cell: 0.00
&SYSTEM
  ibrav = 0, nat = 8, ntyp = 2
/
ATOMIC_SPECIES
Mo 95.94 Mo.upf
W 183.84 W.upf
ATOMIC_POSITIONS angstrom
Mo 0.000 0.000 0.000
Mo 1.593 2.244 0.000
W 0.000 0.000 4.500
W 0.000 2.244 2.245
W 0.000 2.244 6.755
W 1.593 0.000 2.245
W 1.593 0.000 6.755
W 1.593 2.244 4.500
CELL_PARAMETERS angstrom
3.187 0.000 0.000
0.000 4.488 0.000
0.000 0.000 9.000



5.
! Mo3W5 | the Alexandria database | PBE-GGA | relaxed; values from VASP
! Density, g/cm³: 15.62
! Total DFT energy (no corrections), Ry per atom: -0.8942
! DOS at the Fermi energy, states/eV/atom: 0.652
! M_tot, μB/cell: 0.00
&SYSTEM
  ibrav = 0, nat = 16, ntyp = 2
/
ATOMIC_SPECIES
Mo 95.94 Mo.upf
W 183.84 W.upf
ATOMIC_POSITIONS angstrom
Mo 0.000 0.000 0.000
Mo 0.000 2.245 2.247
Mo 0.000 6.724 2.247
Mo 3.184 2.239 2.247
Mo 3.184 4.484 0.000
Mo 3.184 6.729 2.247
W 0.000 4.484 0.000
W 1.590 0.000 2.247
W 1.592 2.242 0.000
W 1.595 4.484 2.247
W 1.592 6.727 0.000
W 3.184 0.000 0.000
W 4.779 0.000 2.247
W 4.777 2.242 0.000
W 4.774 4.484 2.247
W 4.777 6.727 0.000
CELL_PARAMETERS angstrom
6.369 0.000 0.000
0.000 8.969 0.000
0.000 0.000 4.493



6.
! MoW | the Alexandria database | PBE-GGA | relaxed; values from VASP
! Density, g/cm³: 13.42
! Total DFT energy (no corrections), Ry per atom: -0.8377
! DOS at the Fermi energy, states/eV/atom: 0.892
! M_tot, μB/cell: 0.00
&SYSTEM
  ibrav = 0, nat = 16, ntyp = 2
/
ATOMIC_SPECIES
Mo 95.94 Mo.upf
W 183.84 W.upf
ATOMIC_POSITIONS angstrom
Mo 0.247 2.506 0.000
Mo 1.403 3.662 2.266
Mo 2.506 7.571 0.000
Mo 3.662 6.414 2.266
Mo 4.155 1.403 2.266
Mo 5.312 0.247 0.000
Mo 6.414 4.155 2.266
Mo 7.571 5.312 0.000
W 1.005 6.248 2.266
W 1.569 1.005 2.266
W 2.339 4.914 0.000
W 2.904 2.339 0.000
W 4.914 5.478 0.000
W 5.478 2.904 0.000
W 6.248 6.812 2.266
W 6.812 1.569 2.266
CELL_PARAMETERS angstrom
7.817 0.000 0.000
0.000 7.817 0.000
0.000 0.000 4.532



7.
! Mo5W7 | the Alexandria database | PBE-GGA | relaxed; values from VASP
! Density, g/cm³: 15.24
! Total DFT energy (no corrections), Ry per atom: -0.8878
! DOS at the Fermi energy, states/eV/atom: 0.574
! M_tot, μB/cell: 0.00
&SYSTEM
  ibrav = 0, nat = 12, ntyp = 2
/
ATOMIC_SPECIES
Mo 95.94 Mo.upf
W 183.84 W.upf
ATOMIC_POSITIONS angstrom
Mo 0.000 0.000 0.000
Mo 1.591 4.756 1.590
Mo 3.182 6.335 0.000
Mo 1.591 -4.756 1.590
Mo 3.182 -6.335 0.000
W 1.587 1.590 1.590
W 1.587 -1.590 1.590
W 3.182 3.173 0.000
W 3.182 0.000 0.000
W 3.182 -3.173 0.000
W 4.777 1.590 1.590
W 4.777 -1.590 1.590
CELL_PARAMETERS angstrom
3.182 -9.513 0.000
3.182 9.513 0.000
0.000 0.000 3.179



8.
! MoW | the Alexandria database | PBE-GGA | relaxed; values from VASP
! Density, g/cm³: 14.50
! Total DFT energy (no corrections), Ry per atom: -0.8747
! DOS at the Fermi energy, states/eV/atom: 0.608
! M_tot, μB/cell: 0.00
&SYSTEM
  ibrav = 0, nat = 12, ntyp = 2
/
ATOMIC_SPECIES
Mo 95.94 Mo.upf
W 183.84 W.upf
ATOMIC_POSITIONS angstrom
Mo 0.000 0.000 0.000
Mo -0.025 1.589 5.023
Mo 3.012 0.000 1.004
Mo 5.020 1.589 0.000
Mo 4.995 0.000 5.023
Mo 8.031 1.589 1.004
W -1.017 0.000 3.013
W 1.000 1.589 2.006
W 1.987 0.000 4.021
W 4.003 1.589 3.013
W 6.020 0.000 2.006
W 7.006 1.589 4.021
CELL_PARAMETERS angstrom
10.040 0.000 0.000
0.000 3.178 0.000
-2.033 0.000 6.027